ZrNbRe2 | PBE | relaxed

abc: 5.875 5.875 5.875
angles: 102.75 102.75 123.97
Atoms (fractional coordinates):
Zr 0.000 0.000 0.000
Zr 0.750 0.250 0.500
Nb 0.250 0.750 0.500
Nb 0.500 0.500 0.000
Re 0.140 0.125 0.515
Re 0.375 0.860 0.985
Re 0.610 0.625 0.485
Re 0.875 0.390 0.015

Values from the calculation:
* electronic total energy: -10.30 eV per atom
* M_tot: 0.0 μB per cell
* SG: No. 122
* density: 12.45 g/cm³

=====

Zr2NbRe | PBE | relaxed

abc: 4.753 4.753 3.375
angles: 90.00 90.00 90.00
Atoms (fractional coordinates):
Zr 0.000 0.500 0.000
Zr 0.500 0.000 0.000
Nb 0.000 0.000 0.500
Re 0.500 0.500 0.500

Values from the calculation:
* electronic total energy: -9.91 eV per atom
* M_tot: 0.0 μB per cell
* SG: No. 123
* density: 10.05 g/cm³

=====

Zr2NbRe2 | PBE | relaxed

abc: 6.652 6.652 4.495
angles: 90.00 90.00 90.00
Atoms (fractional coordinates):
Zr 0.178 0.322 0.000
Zr 0.322 0.822 0.000
Zr 0.678 0.178 0.000
Zr 0.822 0.678 0.000
Nb 0.000 0.000 0.500
Nb 0.500 0.500 0.500
Re 0.131 0.631 0.500
Re 0.369 0.131 0.500
Re 0.631 0.869 0.500
Re 0.869 0.369 0.500

Values from the calculation:
* electronic total energy: -10.36 eV per atom
* M_tot: 0.0 μB per cell
* SG: No. 127
* density: 10.82 g/cm³

=====

ZrNbRe | PBE | relaxed

abc: 5.633 5.633 5.633
angles: 146.32 146.32 48.37
Atoms (fractional coordinates):
Zr 0.000 0.000 0.000
Nb 0.687 0.687 0.000
Re 0.331 0.331 0.000

Values from the calculation:
* electronic total energy: -10.55 eV per atom
* M_tot: 0.0 μB per cell
* SG: No. 107
* density: 11.24 g/cm³

=====

Nb4Rh | PBE | relaxed

abc: 5.516 7.995 4.470
angles: 90.00 111.84 90.00
Atoms (fractional coordinates):
Nb 0.180 0.160 0.088
Nb 0.180 0.840 0.588
Nb 0.224 0.404 0.597
Nb 0.224 0.596 0.097
Nb 0.776 0.404 0.903
Nb 0.776 0.596 0.403
Nb 0.820 0.160 0.412
Nb 0.820 0.840 0.912
Rh 0.500 0.111 0.750
Rh 0.500 0.889 0.250

Values from the calculation:
* electronic total energy: -9.44 eV per atom
* M_tot: 0.0 μB per cell
* SG: No. 13
* density: 8.61 g/cm³

=====

Nb3Rh5 | PBE | relaxed

abc: 5.596 5.596 3.978
angles: 90.00 90.00 92.21
Atoms (fractional coordinates):
Nb 0.000 0.000 0.000
Nb 0.272 0.728 0.500
Nb 0.728 0.272 0.500
Rh 0.000 0.500 0.000
Rh 0.241 0.241 0.500
Rh 0.500 0.000 0.000
Rh 0.500 0.500 0.000
Rh 0.759 0.759 0.500

Values from the calculation:
* electronic total energy: -8.81 eV per atom
* M_tot: 0.0 μB per cell
* SG: No. 65
* density: 10.58 g/cm³

=====

Copy entry 1 word for word.
ZrNbRe2 | PBE | relaxed

abc: 5.875 5.875 5.875
angles: 102.75 102.75 123.97
Atoms (fractional coordinates):
Zr 0.000 0.000 0.000
Zr 0.750 0.250 0.500
Nb 0.250 0.750 0.500
Nb 0.500 0.500 0.000
Re 0.140 0.125 0.515
Re 0.375 0.860 0.985
Re 0.610 0.625 0.485
Re 0.875 0.390 0.015

Values from the calculation:
* electronic total energy: -10.30 eV per atom
* M_tot: 0.0 μB per cell
* SG: No. 122
* density: 12.45 g/cm³

=====

Which formula does entry 1 have?
ZrNbRe2

=====

Which value of electronic total energy does entry 3 give?
-10.36 eV per atom

=====

The lowest electronic total energy belongs to which entry?
ZrNbRe